YHo2Mg2 | PBE-GGA | relaxed

a = 3.7215 Å, b = 5.4177 Å, c = 14.0256 Å
α = 90.00°, β = 97.62°, γ = 90.00°
Element x y z (fractional)
Y 0.1515 0.2500 0.3023
Y 0.8485 0.7500 0.6977
Ho 0.0446 0.7500 0.0883
Ho 0.2368 0.7500 0.4744
Ho 0.7632 0.2500 0.5256
Ho 0.9554 0.2500 0.9117
Mg 0.3603 0.2500 0.7200
Mg 0.4461 0.7500 0.8937
Mg 0.5539 0.2500 0.1063
Mg 0.6397 0.7500 0.2800

- raw total energy (Ry/atom) = -0.2820
- distance to the lowest polymorph of the same formula (eV per atom) = 0.000
- theoretical density (Mg/m³) = 5.538
- energy of formation (meV/atom) = -74